Record 1
# PBE-GGA Mg3Pb5, relaxed
# * ΔE_f: -0.02 eV/atom
# * D(E_F): 3.27 states/eV/f.u.
# * crystal system: orthorhombic
data_Mg3Pb5
_symmetry_space_group_name_H-M 'C m m m'
_symmetry_Int_Tables_number 65
_symmetry_space_group_name_Hall '-C 2 2'
_cell_length_a 9.409
_cell_length_b 9.958
_cell_length_c 4.758
_cell_angle_alpha 90.00
_cell_angle_beta 90.00
_cell_angle_gamma 90.00
loop_
_atom_site_label
_atom_site_type_symbol
_atom_site_fract_x
_atom_site_fract_y
_atom_site_fract_z
_atom_site_occupancy
Mg1 Mg 0.000 0.000 0.000 1
Mg2 Mg 0.000 0.257 0.500 1
Pb1 Pb 0.000 0.500 0.000 1
Pb2 Pb 0.227 0.000 0.500 1
Pb3 Pb 0.250 0.250 0.000 1

---

Record 2
# PBE-GGA ScCuOs2, relaxed
# * ΔE_f: 0.13 eV/atom
# * D(E_F): 4.65 states/eV/f.u.
# * crystal system: orthorhombic
data_ScCuOs2
_symmetry_space_group_name_H-M 'I m m m'
_symmetry_Int_Tables_number 71
_symmetry_space_group_name_Hall '-I 2 2'
_cell_length_a 2.943
_cell_length_b 4.572
_cell_length_c 9.021
_cell_angle_alpha 90.00
_cell_angle_beta 90.00
_cell_angle_gamma 90.00
loop_
_atom_site_label
_atom_site_type_symbol
_atom_site_fract_x
_atom_site_fract_y
_atom_site_fract_z
_atom_site_occupancy
Sc1 Sc 0.000 0.000 0.000 1
Cu1 Cu 0.000 0.000 0.500 1
Os1 Os 0.000 0.500 0.242 1

---

Record 3
# PBE-GGA CaSbPd4, relaxed
# * formation energy without anion corrections: -0.50 eV/atom
# * D(E_F): 2.57 states/eV/f.u.
# * crystal system: orthorhombic
data_CaSbPd4
_symmetry_space_group_name_H-M 'P m m a'
_symmetry_Int_Tables_number 51
_cell_length_a 7.811
_cell_length_b 4.149
_cell_length_c 7.165
_cell_angle_alpha 90.00
_cell_angle_beta 90.00
_cell_angle_gamma 90.00
loop_
_symmetry_equiv_pos_as_xyz
'x,y,z'
'-x,-y,-z'
'-x+1/2,-y,z'
'x+1/2,y,-z'
'x+1/2,-y,-z'
'-x+1/2,y,z'
'-x,y,-z'
'x,-y,z'
loop_
_atom_site_label
_atom_site_type_symbol
_atom_site_fract_x
_atom_site_fract_y
_atom_site_fract_z
_atom_site_occupancy
Ca1 Ca 0.250 0.000 0.164 1
Sb1 Sb 0.250 0.000 0.738 1
Pd1 Pd 0.000 0.000 0.500 1
Pd2 Pd 0.043 0.500 0.801 1
Pd3 Pd 0.250 0.500 0.456 1